Nd4Mg (GGA-PBE, optimized geometry); ΔE_f = 0.1941 eV per atom; offset from the most stable computed form = 0.223 eV/atom; SG = No. 64; calculated volume = 35.20 Å³/atom
1.0
6.762 1.645 0.000
2.185 6.609 0.000
0.000 0.000 8.565
Nd Mg
8 2
Direct
0.096 0.095 0.361
0.404 0.405 0.861
0.904 0.905 0.639
0.596 0.595 0.139
0.905 0.406 0.750
0.595 0.094 0.250
0.095 0.594 0.250
0.405 0.906 0.750
0.000 0.000 0.000
0.500 0.500 0.500